BaPdN3 (GGA-PBE, optimized geometry); E_form (uncorrected) = 105.8 kJ per mole of atoms; size of the total moment = 0.00 μB per formula unit; space group = Pm-3m, No. 221
1.0
4.122 0.000 0.000
0.000 4.122 0.000
0.000 0.000 4.122
Ba Pd N
1 1 3
direct
0.000 0.000 0.000 Ba
0.500 0.500 0.500 Pd
0.000 0.500 0.500 N
0.500 0.000 0.500 N
0.500 0.500 0.000 N

=====

HfPaTa2 (GGA-PBE, optimized geometry); distance to the lowest polymorph of the same formula = 148 meV per atom; size of the total moment = 0.00 μB per formula unit; space group = R-3m, No. 166; ΔH_f (0 K) = 1.06 eV/f.u.
1.0
1.523 0.879 10.548
-1.523 0.879 10.548
0.000 -1.758 10.548
Hf Pa Ta
1 1 2
direct
0.000 0.000 0.000 Hf
0.500 0.500 0.500 Pa
0.255 0.255 0.255 Ta
0.745 0.745 0.745 Ta

=====

Hf6Sn2Pb (GGA-PBE, optimized geometry); size of the total moment = 0.00 μB per formula unit; space group = C2/m, No. 12; ΔH_f (0 K) = -0.33 eV/f.u.
1.0
7.379 -1.580 0.000
7.379 1.580 0.000
-5.614 0.000 9.075
Hf Sn Pb
6 2 1
direct
0.051 0.051 0.254 Hf
0.231 0.231 0.603 Hf
0.384 0.384 0.936 Hf
0.616 0.616 0.064 Hf
0.769 0.769 0.397 Hf
0.949 0.949 0.746 Hf
0.332 0.332 0.182 Sn
0.668 0.668 0.818 Sn
0.000 0.000 0.500 Pb

=====

HgBPS2 (GGA-PBE, optimized geometry); E_form (uncorrected) = 75.7 kJ per mole of atoms; distance to the lowest polymorph of the same formula = 0 meV per atom; size of the total moment = 0.00 μB per formula unit; space group = P4/mmm, No. 123
1.0
4.674 0.000 0.000
0.000 4.674 0.000
0.000 0.000 3.778
Hg B P S
1 1 1 2
direct
0.000 0.000 0.000 Hg
0.500 0.500 0.500 B
0.500 0.500 0.000 P
0.000 0.500 0.500 S
0.500 0.000 0.500 S

=====

NdTh2PaAs4 (GGA-PBE, optimized geometry); size of the total moment = 0.94 μB per formula unit; space group = I-4m2, No. 119; ΔH_f (0 K) = -10.64 eV/f.u.
1.0
-2.983 2.983 5.964
2.983 -2.983 5.964
2.983 2.983 -5.964
Nd Th Pa As
1 2 1 4
direct
0.000 0.000 0.000 Nd
0.500 0.500 0.000 Th
0.750 0.250 0.500 Th
0.250 0.750 0.500 Pa
0.005 0.505 0.500 As
0.250 0.250 0.000 As
0.495 0.995 0.500 As
0.750 0.750 0.000 As

=====

Pr2Ga4CoNi3 (GGA-PBE, optimized geometry); size of the total moment = 0.54 μB per formula unit; space group = P-4m2, No. 115; ΔH_f (0 K) = -5.09 eV/f.u.
1.0
4.210 0.000 0.000
0.000 4.210 0.000
0.000 0.000 9.756
Pr Ga Co Ni
2 4 1 3
direct
0.000 0.500 0.245 Pr
0.500 0.000 0.755 Pr
0.000 0.000 0.500 Ga
0.000 0.500 0.878 Ga
0.500 0.000 0.122 Ga
0.500 0.500 0.500 Ga
0.500 0.500 0.000 Co
0.000 0.000 0.000 Ni
0.000 0.500 0.629 Ni
0.500 0.000 0.371 Ni

=====

NaPuBeO5 (GGA-PBE, optimized geometry); E_form (uncorrected) = -218.5 kJ per mole of atoms; size of the total moment = 1.00 μB per formula unit; space group = C2/c, No. 15
1.0
3.433 -4.360 0.000
3.433 4.360 0.000
-3.322 0.000 6.925
Na Pu Be O
2 2 2 10
direct
0.094 0.906 0.750 Na
0.906 0.094 0.250 Na
0.000 0.500 0.000 Pu
0.500 0.000 0.500 Pu
0.439 0.561 0.750 Be
0.561 0.439 0.250 Be
0.163 0.837 0.250 O
0.236 0.331 0.127 O
0.271 0.633 0.896 O
0.331 0.236 0.627 O
0.367 0.729 0.604 O
0.633 0.271 0.396 O
0.669 0.764 0.373 O
0.729 0.367 0.104 O
0.764 0.669 0.873 O
0.837 0.163 0.750 O

=====

CaBe4Cl (GGA-PBE, optimized geometry); E_form (uncorrected) = 50.6 kJ per mole of atoms; size of the total moment = 0.00 μB per formula unit; space group = F-43m, No. 216
1.0
0.000 3.619 3.619
3.619 0.000 3.619
3.619 3.619 0.000
Ca Be Cl
1 4 1
direct
0.000 0.000 0.000 Ca
0.077 0.641 0.641 Be
0.641 0.077 0.641 Be
0.641 0.641 0.077 Be
0.641 0.641 0.641 Be
0.250 0.250 0.250 Cl

=====

Na6In3Cl14 (GGA-PBE, optimized geometry); E_form (uncorrected) = -136.0 kJ per mole of atoms; size of the total moment = 1.03 μB per formula unit; space group = P3, No. 143
1.0
10.513 0.000 0.000
-5.257 9.105 0.000
0.000 0.000 6.896
Na In Cl
6 3 14
direct
0.023 0.578 0.000 Na
0.037 0.251 0.480 Na
0.214 0.963 0.480 Na
0.422 0.446 0.000 Na
0.554 0.977 0.000 Na
0.749 0.786 0.480 Na
0.000 0.000 0.040 In
0.333 0.667 0.569 In
0.667 0.333 0.579 In
0.000 0.000 0.651 Cl
0.103 0.527 0.361 Cl
0.196 0.442 0.796 Cl
0.232 0.193 0.228 Cl
0.246 0.804 0.796 Cl
0.424 0.897 0.361 Cl
0.427 0.228 0.726 Cl
0.473 0.576 0.361 Cl
0.558 0.754 0.796 Cl
0.667 0.333 0.235 Cl
0.772 0.199 0.726 Cl
0.801 0.573 0.726 Cl
0.807 0.039 0.228 Cl
0.961 0.768 0.228 Cl

=====

BeNbSi3 (GGA-PBE, optimized geometry); E_form (uncorrected) = 78.2 kJ per mole of atoms; distance to the lowest polymorph of the same formula = 0 meV per atom; size of the total moment = 0.00 μB per formula unit; space group = Pm-3m, No. 221
1.0
4.231 0.000 0.000
0.000 4.231 0.000
0.000 0.000 4.231
Be Nb Si
1 1 3
direct
0.000 0.000 0.000 Be
0.500 0.500 0.500 Nb
0.000 0.000 0.500 Si
0.000 0.500 0.000 Si
0.500 0.000 0.000 Si

=====

CsHgO2F (GGA-PBE, optimized geometry); E_form (uncorrected) = -69.0 kJ per mole of atoms; size of the total moment = 1.37 μB per formula unit; space group = P4/mmm, No. 123
1.0
4.302 0.000 0.000
0.000 4.302 0.000
0.000 0.000 5.163
Cs Hg O F
1 1 2 1
direct
0.000 0.000 0.000 Cs
0.500 0.500 0.500 Hg
0.000 0.500 0.500 O
0.500 0.000 0.500 O
0.500 0.500 0.000 F

=====

Tl2CrRu (GGA-PBE, optimized geometry); distance to the lowest polymorph of the same formula = 518 meV per atom; size of the total moment = 4.64 μB per formula unit; space group = I-42d, No. 122; ΔH_f (0 K) = 3.68 eV/f.u.
1.0
-3.774 3.774 2.995
3.774 -3.774 2.995
3.774 3.774 -2.995
Tl Cr Ru
4 2 2
direct
0.117 0.625 0.992 Tl
0.375 0.367 0.492 Tl
0.633 0.125 0.008 Tl
0.875 0.883 0.508 Tl
0.250 0.750 0.500 Cr
0.500 0.500 0.000 Cr
0.000 0.000 0.000 Ru
0.750 0.250 0.500 Ru

=====

no.,N(E_F) (states/eV/cell)
1,8.2
2,6.8
3,6.2
4,2.2
5,7.4
6,8.1
7,0.3
8,2.5
9,2.7
10,5.5
11,5.6
12,8.9